Entry from Alexandria via LeMat-Bulk: CrS2Br after structural relaxation (GGA-PBE).

abc: 11.879 11.879 11.879
angles: 13.90 13.90 13.90
Atoms (fractional coordinates):
S 0.063 0.063 0.063
Cr 0.000 0.000 0.000
S 0.937 0.937 0.937
Br 0.500 0.500 0.500

Results
The total magnetization comes out at 0.752 μB per atom. Its energy relative to the lowest polymorph listed for this composition is 983 meV/atom. The raw formation energy comes out at 0.597 eV per atom.